A plane-wave DFT calculation with GGA-PBE was carried out for a relaxed structure of BaErPaO6.

```
9
Lattice="-2.857 2.918 -2.570 -4.874 -2.132 2.997 3.023 4.851 2.147" Properties=species:S:1:pos:R:3 pbc="T T T"
Ba -3.670 1.655 1.429
Er -1.428 1.459 -1.285
Pa 0.391 2.524 2.430
O -3.160 4.296 1.599
O -0.664 6.131 0.907
O -1.428 3.707 -0.995
O -1.028 1.801 0.919
O -1.098 3.860 3.334
O 1.152 4.101 1.107
```

Properties
The uncorrected formation energy is -2735.6 meV per atom. As for the symmetry: P312. As for the size of the total moment: 0.224 μB/atom. The volume comes out at 17.31 Å³ per atom.